(1)
Here is a geometry-optimized Ta2ReSe structure from Alexandria. Energies are from PBE-GGA.

a = 5.9273 Å, b = 7.2872 Å, c = 3.1646 Å
α = 90.00°, β = 97.69°, γ = 90.00°
Closest atoms and distances in Å follow each position.
Space group C2/m (No. 12)
Symmetry-distinct sites (fractional):
Ta1 0.2500 0.2500 0.0000  4 Se 2.72-2.94, 4 Re 2.72-2.94, 2 Ta 2.96
Re1 0.0000 0.0000 0.5000  8 Ta 2.72-2.94, 2 Se 2.96
Se1 0.0000 0.5000 0.5000  8 Ta 2.72-2.94, 2 Re 2.96

Computed properties:
- Total magnetic moment: 0.0000 μB per atom
- Formation energy from raw total energies: 0.057 eV/atom
- Electronic total energy: -9.85 eV per atom



(2)
Here is a geometry-optimized TaReSe2 structure from Alexandria. Energies are from PBE-GGA.

a = 3.1540 Å, b = 4.4417 Å, c = 9.6426 Å
α = 90.00°, β = 90.00°, γ = 90.00°
Closest atoms and distances in Å follow each position.
Space group Imm2 (No. 44)
Symmetry-distinct sites (fractional):
Ta1 0.0000 0.0000 0.0000  6 Se 2.73-2.79
Re1 0.0000 0.5000 0.2273  6 Se 2.55-2.73
Se1 0.0000 0.0000 0.5200  2 Re 2.55, 4 Ta 2.73
Se2 0.0000 0.5000 0.7386  4 Re 2.73, 2 Ta 2.79

Computed properties:
- Total magnetic moment: 0.0000 μB per atom
- Formation energy from raw total energies: 0.240 eV/atom
- Distance to the lowest polymorph of the same formula: 450 meV per atom
- Electronic total energy: -7.58 eV per atom



(3)
Here is a geometry-optimized Ta4ReSe structure from Alexandria. Energies are from PBE-GGA.

a = 7.6322 Å, b = 7.6322 Å, c = 7.6322 Å
α = 90.00°, β = 90.00°, γ = 90.00°
Closest atoms and distances in Å follow each position.
Space group F-43m (No. 216)
Symmetry-distinct sites (fractional):
Ta1 0.1245 0.1245 0.1245  6 Ta 2.69-2.71
Re1 0.2500 0.2500 0.7500  12 Ta 3.16, 4 Se 3.30
Se1 0.0000 0.0000 0.5000  12 Ta 3.17, 4 Re 3.30

Computed properties:
- Total magnetic moment: 0.0000 μB per atom
- Formation energy from raw total energies: 0.645 eV/atom
- Electronic total energy: -9.91 eV per atom



(4)
Here is a geometry-optimized TaReSe3 structure from Alexandria. Energies are from PBE-GGA.

a = 4.8385 Å, b = 4.8385 Å, c = 4.8385 Å
α = 90.00°, β = 90.00°, γ = 90.00°
Closest atoms and distances in Å follow each position.
Space group Pm-3m (No. 221)
Symmetry-distinct sites (fractional):
Ta1 0.0000 0.0000 0.0000  12 Se 3.42
Re1 0.5000 0.5000 0.5000  6 Se 2.42
Se1 0.0000 0.5000 0.5000  2 Re 2.42

Computed properties:
- Total magnetic moment: 0.5245 μB per atom
- Formation energy from raw total energies: 1.104 eV/atom
- Distance to the lowest polymorph of the same formula: 155 meV per atom
- Electronic total energy: -5.85 eV per atom